This record from Alexandria describes a relaxed AlV2O4 crystal. The functional is PBE with a Hubbard U.

a = 5.842 Å, b = 5.880 Å, c = 8.782 Å
α = 90.00°, β = 90.00°, γ = 90.00°
Space group Imma (No. 74)
Asymmetric unit:
Al  0.000  0.000  0.000 x4
V  0.000  0.250  0.370 x4
V  0.250  0.250  0.750 x4
O  0.000  0.001  0.782 x8
O  0.223  0.250  0.992 x8

## Properties
total magnetization = 5.00 μB per formula unit
V = 10.77 A^3/atom
DFT total energy = -54.02 eV/f.u.